# 1
Material: CaGe2O4
Method: DFT, PBE
State: optimized geometry

a b c (Å): 5.450 8.004 8.395
angles (deg): 90.00 90.00 90.00
Space group Cccm (No. 66)
Inequivalent atoms, fractional coordinates:
Ca 0.000 0.000 0.250 x4
Ge 0.004 0.324 0.000 x8
O 0.155 0.117 0.500 x8
O 0.250 0.250 0.156 x8

Summary:
ΔE_f (raw), eV/atom: -1.7306
VASP energy, eV per atom: -6.17

# 2
Material: CaGeP2O8
Method: DFT, PBE
State: optimized geometry

a b c (Å): 4.7901 4.7901 7.0710
angles (deg): 90.00 90.00 120.00
Space group P-3 (No. 147)
Inequivalent atoms, fractional coordinates:
Ca 0.0000 0.0000 0.0000 x1
Ge 0.0000 0.0000 0.5000 x1
P 0.3333 0.6667 0.7358 x2
O 0.0564 0.3336 0.6659 x6
O 0.3333 0.6667 0.9503 x2

Summary:
ΔE_f (raw), eV/atom: -2.2501
VASP energy, eV per atom: -7.01
DOS(E_F), states/eV/f.u.: 0.0
Distance to the lowest polymorph of the same formula, eV per atom: 0.0531

# 3
Material: CaGePO6
Method: DFT, PBE
State: optimized geometry

a b c (Å): 4.8215 4.8215 5.0860
angles (deg): 90.00 90.00 120.00
Space group P312 (No. 149)
Inequivalent atoms, fractional coordinates:
Ca 0.0000 0.0000 0.0000 x1
Ge 0.3333 0.6667 0.5000 x1
P 0.6667 0.3333 0.5000 x1
O 0.3888 0.0298 0.6952 x6

Summary:
ΔE_f (raw), eV/atom: -1.9700
VASP energy, eV per atom: -6.61
DOS(E_F), states/eV/f.u.: 6.5

# 4
Material: CaGeP2O8
Method: DFT, PBE
State: optimized geometry

a b c (Å): 16.008 5.132 7.895
angles (deg): 90.00 117.24 90.00
Space group C2/c (No. 15)
Inequivalent atoms, fractional coordinates:
Ca 0.000 0.168 0.250 x4
Ge 0.250 0.250 0.500 x4
P 0.142 0.263 0.753 x8
O 0.045 0.223 0.590 x8
O 0.143 0.471 0.354 x8
O 0.161 0.034 0.899 x8
O 0.225 0.271 0.705 x8

Summary:
ΔE_f (raw), eV/atom: -2.3032
VASP energy, eV per atom: -7.06
DOS(E_F), states/eV/f.u.: 0.0
Distance to the lowest polymorph of the same formula, eV per atom: 0.0000